[1]
Here is a geometry-optimized Se4BrCl3 structure from Alexandria. Energies are from PBE.

Output
- formation energy (no corrections) (eV per atom) = -0.159
- symmetry = Pc

```
Se4BrCl3
1.0
-1.9178 -0.7882 13.9038
-2.4484 -4.8683 -0.6132
6.7986 -3.7990 3.0138
Cl Se Br
6 8 2
Cartesian
2.6957 -5.9910 8.2238 Cl
4.8451 -4.6350 11.5753 Cl
0.5423 -6.0449 2.6501 Cl
-0.7330 -4.0882 6.7205 Cl
2.1201 -5.5598 15.2818 Cl
-1.2575 -3.6819 13.7692 Cl
2.2990 -8.0218 7.3671 Se
0.8040 -6.7792 4.7818 Se
-1.4272 -1.0435 10.7596 Se
3.6352 -3.9442 14.9253 Se
-2.6269 -4.9037 3.2676 Se
-1.0673 -6.1493 5.9002 Se
1.9737 -2.9027 12.2672 Se
0.1992 -2.0266 13.3775 Se
1.4568 -2.8082 9.8951 Br
4.0228 -7.8767 4.0013 Br
```


[2]
Here is a geometry-optimized AgSbRh4 structure from Alexandria. Energies are from PBE.

Output
- formation energy (no corrections) (eV per atom) = 0.225
- symmetry = F-43m

```
AgSbRh4
1.0
0.0000 3.6968 3.6968
3.6968 0.0000 3.6968
3.6968 3.6968 0.0000
Rh Sb Ag
4 1 1
Cartesian
2.7723 4.6214 2.7723 Rh
2.7723 2.7723 4.6214 Rh
4.6214 2.7723 2.7723 Rh
4.6214 4.6214 4.6214 Rh
1.8484 1.8484 1.8484 Sb
0.0000 0.0000 0.0000 Ag
```


[3]
Here is a geometry-optimized Ag2Pd2Pb structure from Alexandria. Energies are from PBE.

Output
- energy relative to the lowest polymorph listed for this composition (meV/atom) = 89
- E_form (eV/atom) = 0.0526
- symmetry = I4/mmm

```
Ag2Pd2Pb
1.0
3.8761 0.0000 0.0000
0.0000 3.8761 0.0000
1.9380 1.9380 6.7194
Ag Pb Pd
2 1 2
Cartesian
3.8761 1.9380 3.3597 Ag
1.9380 3.8761 3.3597 Ag
0.0000 0.0000 0.0000 Pb
3.8761 3.8761 5.3888 Pd
1.9380 1.9380 1.3307 Pd
```


[4]
Here is a geometry-optimized AcGa4Ni structure from Alexandria. Energies are from PBE.

Output
- E_form (eV/atom) = -0.4862
- symmetry = Cmcm

```
AcGa4Ni
1.0
4.2897 0.0000 0.0000
0.0000 6.7916 0.0000
-2.1449 0.0000 8.1410
Ni Ga Ac
2 8 2
Cartesian
0.0000 5.0937 3.6574 Ni
2.1449 1.6979 4.4835 Ni
2.1449 6.3999 3.1228 Ga
0.0000 0.3917 5.0182 Ga
2.1449 0.0000 0.0000 Ga
0.0000 5.0937 1.2806 Ga
0.0000 3.0041 5.0182 Ga
2.1449 1.6979 6.8603 Ga
2.1449 3.7875 3.1228 Ga
2.1449 3.3958 0.0000 Ga
0.0000 1.6979 1.8759 Ac
2.1449 5.0937 6.2650 Ac
```


[5]
Here is a geometry-optimized PrNiGe structure from Alexandria. Energies are from PBE.

Output
- E_form (eV/atom) = -0.6758
- symmetry = Pnma

```
PrNiGe
1.0
4.3870 0.0000 0.0000
0.0000 7.3293 0.0000
0.0000 0.0000 7.3195
Pr Ni Ge
4 4 4
Cartesian
3.2903 0.1113 5.8508 Pr
1.0968 3.5533 2.1911 Pr
1.0968 7.2180 1.4686 Pr
3.2903 3.7760 5.1283 Pr
1.0968 5.0210 6.7290 Ni
3.2903 2.3083 0.5905 Ni
3.2903 5.9729 3.0693 Ni
1.0968 1.3564 4.2502 Ni
3.2903 5.0556 0.6617 Ge
1.0968 5.9383 4.3215 Ge
1.0968 2.2737 6.6577 Ge
3.2903 1.3910 2.9980 Ge
```


[6]
Here is a geometry-optimized TiBr3N structure from Alexandria. Energies are from PBE.

Output
- formation energy (no corrections) (eV per atom) = 0.247
- energy relative to the lowest polymorph listed for this composition (meV/atom) = 91
- symmetry = Pm-3m

```
TiBr3N
1.0
-4.9382 -0.5103 1.2732
0.5974 -5.0825 0.2799
1.2347 0.4181 4.9566
Br Ti N
3 1 1
Cartesian
-2.4691 -0.2552 0.6366 Br
0.2987 -2.5412 0.1400 Br
0.6174 0.2091 2.4783 Br
0.0000 0.0000 0.0000 Ti
-1.5530 -2.5873 3.2548 N
```


[7]
Here is a geometry-optimized AgH2F structure from Alexandria. Energies are from PBE.

Output
- energy relative to the lowest polymorph listed for this composition (meV/atom) = 717
- symmetry = Fm-3m

```
AgH2F
1.0
0.0000 2.5768 2.5768
2.5768 0.0000 2.5768
2.5768 2.5768 0.0000
Ag F H
1 1 2
Cartesian
2.5768 2.5768 2.5768 Ag
0.0000 0.0000 0.0000 F
1.2884 1.2884 1.2884 H
3.8652 3.8652 3.8652 H
```


[8]
Here is a geometry-optimized PrHoCdHg structure from Alexandria. Energies are from PBE.

Output
- energy relative to the lowest polymorph listed for this composition (meV/atom) = 15
- E_form (eV/atom) = -0.3803
- symmetry = F-43m

```
PrHoCdHg
1.0
-2.1036 2.3093 4.3685
2.6275 -0.2129 4.6789
2.2348 4.4418 2.0292
Ho Hg Cd Pr
1 1 1 1
Cartesian
0.6897 1.6346 2.7691 Ho
1.3794 3.2691 5.5383 Hg
0.0000 0.0000 0.0000 Cd
2.0691 4.9037 8.3074 Pr
```


[9]
Here is a geometry-optimized ThPaAsSe structure from Alexandria. Energies are from PBE.

Output
- formation energy (no corrections) (eV per atom) = -1.157
- energy relative to the lowest polymorph listed for this composition (meV/atom) = 0
- symmetry = R3m

```
ThPaAsSe
1.0
-3.4527 0.1823 1.9890
0.3644 -2.4259 -3.1465
4.4941 -4.8313 4.2453
Se Pa Th As
1 1 1 1
Cartesian
0.3873 -2.8332 -2.3136 Se
3.0629 -5.4913 2.5751 Pa
-1.5689 -2.4986 2.2607 Th
1.2268 -3.2771 3.1849 As
```


[10]
Here is a geometry-optimized MgOsW2 structure from Alexandria. Energies are from PBE.

Output
- E_form (eV/atom) = 0.3958
- symmetry = I4/mmm

```
MgOsW2
1.0
5.0870 0.0001 0.0000
2.2171 4.5785 0.0000
-3.6521 -2.2893 2.7018
W Os Mg
2 1 1
Cartesian
3.6521 2.2893 0.0000 W
0.0000 0.0000 0.0000 W
2.5435 0.0000 1.3509 Os
1.1086 2.2892 1.3509 Mg
```


[11]
Here is a geometry-optimized Tb2Dy12Th5 structure from Alexandria. Energies are from PBE.

Output
- energy relative to the lowest polymorph listed for this composition (meV/atom) = 0
- E_form (eV/atom) = 0.1549
- symmetry = C2/m

```
Tb2Dy12Th5
1.0
10.3362 0.0000 0.0000
-5.1681 7.6297 -0.4086
0.0000 0.5950 7.8299
Th Dy Tb
5 12 2
Cartesian
5.1681 2.9112 7.0465 Th
5.1681 4.2602 3.5964 Th
0.0000 0.2975 3.9149 Th
0.0000 3.9645 3.8249 Th
0.0000 5.3135 0.3748 Th
5.1681 0.9599 2.2492 Dy
7.9151 3.0570 1.4397 Dy
0.0000 2.6561 6.8458 Dy
2.3071 6.2052 2.7477 Dy
2.8610 2.0195 4.6735 Dy
-2.7470 5.1677 5.9815 Dy
7.4753 2.0195 4.6735 Dy
2.4211 3.0570 1.4397 Dy
0.0000 7.2649 5.1720 Dy
5.1681 5.5686 0.5754 Dy
-2.3072 6.2052 2.7477 Dy
2.7470 5.1677 5.9815 Dy
2.6942 0.0000 0.0000 Tb
7.6421 0.0000 0.0000 Tb
```


[12]
Here is a geometry-optimized CrGaPt6 structure from Alexandria. Energies are from PBE.

Output
- E_form (eV/atom) = -0.3492
- symmetry = P4/mmm

```
CrGaPt6
1.0
3.9272 0.0000 0.0000
0.0000 3.9272 0.0000
0.0000 0.0000 7.8770
Ga Pt Cr
1 6 1
Cartesian
0.0000 0.0000 0.0000 Ga
1.9636 1.9636 3.9385 Pt
1.9636 0.0000 1.9985 Pt
0.0000 1.9636 5.8785 Pt
1.9636 1.9636 0.0000 Pt
0.0000 1.9636 1.9985 Pt
1.9636 0.0000 5.8785 Pt
0.0000 0.0000 3.9385 Cr
```